A plane-wave DFT calculation with PBE with a Hubbard U was carried out for a relaxed BaVO4 crystal.

Cell lengths 12.395, 5.278, 5.481 Å; angles 90.00, 110.02, 90.00 degrees
Space group C2/c (No. 15)
One atom of each set of equivalent atoms:
Ba (0.000, 0.224, 0.250) x4
V (0.250, 0.250, 0.000) x4
O (0.099, 0.335, 0.900) x8
O (0.218, 0.012, 0.719) x8

Output
* density of states at the Fermi level: 3.2 states/eV/f.u.
* electronic total energy: -161.35 eV/cell